1.
Material: Ca2TaNi
Method: DFT, GGA-PBE
State: optimized geometry

```
Ca2TaNi
1.0
-3.348 3.129 -1.259
-0.985 0.132 2.947
3.018 4.494 3.143
Ni Ca Ta
1 2 1
direct
0.500 0.250 0.250
0.000 0.055 0.011
0.000 0.445 0.489
0.500 0.750 0.750
```

---

2.
Material: Ca2TaNi
Method: DFT, GGA-PBE
State: optimized geometry

```
Ca2TaNi
1.0
6.246 -0.010 0.012
5.340 3.240 0.012
2.220 0.619 4.745
Ni Ca Ta
1 2 1
direct
0.530 0.530 0.470
0.994 0.994 0.006
0.789 0.789 0.711
0.187 0.187 0.313
```

---

3.
Material: CaTaNi2
Method: DFT, GGA-PBE
State: optimized geometry

```
CaTaNi2
1.0
0.000 3.198 3.198
3.198 0.000 3.198
3.198 3.198 0.000
Ni Ca Ta
2 1 1
direct
0.250 0.250 0.250
0.750 0.750 0.750
0.000 0.000 0.000
0.500 0.500 0.500
```

---

4.
Material: Ca2TaNi
Method: DFT, GGA-PBE
State: optimized geometry

```
Ca2TaNi
1.0
9.826 -0.006 -0.004
9.296 3.186 -0.004
9.296 1.546 2.786
Ni Ca Ta
1 2 1
direct
0.250 0.250 0.250
0.990 0.990 0.990
0.510 0.510 0.510
0.750 0.750 0.750
```

---

5.
Material: CaTaNi2
Method: DFT, GGA-PBE
State: optimized geometry

```
CaTaNi2
1.0
-2.298 0.583 2.187
0.766 -2.732 1.533
4.536 3.435 3.852
Ni Ca Ta
2 1 1
direct
0.000 0.000 0.062
0.500 0.500 0.243
0.500 0.500 0.784
0.000 0.000 0.410
```

---

6.
Material: CaTaNi2
Method: DFT, GGA-PBE
State: optimized geometry

```
CaTaNi2
1.0
5.769 -0.004 -0.001
3.269 4.754 0.001
-3.940 -3.476 2.382
Ni Ca Ta
2 1 1
direct
0.966 0.966 0.000
0.761 0.261 0.500
0.239 0.739 0.500
0.533 0.533 0.000
```

---

7.
Material: CaTa4Ni
Method: DFT, GGA-PBE
State: optimized geometry

```
CaTa4Ni
1.0
-3.903 -0.563 3.910
-5.032 2.224 -0.759
-4.382 -3.289 -0.904
Ca Ta Ni
1 4 1
direct
0.750 0.750 0.750
0.871 0.376 0.376
0.376 0.376 0.871
0.376 0.871 0.376
0.376 0.376 0.376
0.000 0.000 0.000
```

---

8.
Material: Ca2TaNi
Method: DFT, GGA-PBE
State: optimized geometry

```
Ca2TaNi
1.0
-3.026 4.004 2.894
-5.319 -1.224 1.944
5.300 -2.338 0.071
Ni Ca Ta
1 2 1
direct
0.250 0.750 0.500
0.000 0.000 0.000
0.500 0.500 0.000
0.750 0.250 0.500
```

---

| no. | formation energy from the elements (eV per atom) | density of states at the Fermi level (states/eV per atom) |
| --- | --- | --- |
| 1 | 0.697 | 1.316 |
| 2 | 0.367 | 1.279 |
| 3 | 0.194 | 1.009 |
| 4 | 0.609 | 1.053 |
| 5 | 0.193 | 1.041 |
| 6 | 0.180 | 0.752 |
| 7 | 0.629 | 0.949 |
| 8 | 0.763 | 1.479 |